# 1
The following is a GGA-PBE calculation of a relaxed Er8ScTl6 crystal, from the Alexandria database.

Properties
formation enthalpy at 0 K: -0.108 eV/atom
DOS(E_F): 19.26 states/eV/f.u.
space-group type: R-3, No. 148
total magnetic moment: 0.00 Bohr magnetons per cell

Cell lengths 8.277, 8.277, 8.277 Å; angles 65.45, 65.45, 65.45 degrees
Sites, in units of the cell vectors:
1 Er 0.057 0.391 0.725
2 Er 0.166 0.166 0.166
3 Er 0.275 0.943 0.609
4 Er 0.391 0.725 0.057
5 Er 0.609 0.275 0.943
6 Er 0.725 0.057 0.391
7 Er 0.834 0.834 0.834
8 Er 0.943 0.609 0.275
9 Sc 0.500 0.500 0.500
10 Tl 0.108 0.764 0.436
11 Tl 0.236 0.564 0.892
12 Tl 0.436 0.108 0.764
13 Tl 0.564 0.892 0.236
14 Tl 0.764 0.436 0.108
15 Tl 0.892 0.236 0.564

---

# 2
The following is a GGA-PBE calculation of a relaxed PmSm2Se crystal, from the Alexandria database.

Properties
DOS(E_F): 3.62 states/eV/f.u.
ΔE to the lowest computed polymorph: 0 meV/atom
raw formation energy: -3.2 eV per formula unit
space-group type: R3m, No. 160
total magnetic moment: 0.59 Bohr magnetons per cell

Cell lengths 9.882, 9.882, 9.882 Å; angles 22.72, 22.72, 22.72 degrees
Sites, in units of the cell vectors:
1 Pm 0.000 0.000 0.000
2 Sm 0.565 0.565 0.565
3 Sm 0.769 0.769 0.769
4 Se 0.167 0.167 0.167

---

# 3
The following is a GGA-PBE calculation of a relaxed NaSnB crystal, from the Alexandria database.

Properties
formation enthalpy at 0 K: 0.188 eV/atom
DOS(E_F): 1.42 states/eV/f.u.
space-group type: Pnma, No. 62
total magnetic moment: 0.00 Bohr magnetons per cell

Cell lengths 13.164, 3.219, 6.238 Å; angles 90.00, 90.00, 90.00 degrees
Sites, in units of the cell vectors:
1 Na 0.176 0.250 0.183
2 Na 0.324 0.750 0.683
3 Na 0.676 0.250 0.317
4 Na 0.824 0.750 0.817
5 Sn 0.080 0.750 0.636
6 Sn 0.420 0.250 0.136
7 Sn 0.580 0.750 0.864
8 Sn 0.920 0.250 0.364
9 B 0.000 0.000 0.000
10 B 0.000 0.500 0.000
11 B 0.500 0.000 0.500
12 B 0.500 0.500 0.500

---

# 4
The following is a GGA-PBE calculation of a relaxed Sc12CdCo6 crystal, from the Alexandria database.

Properties
formation enthalpy at 0 K: -0.268 eV/atom
DOS(E_F): 19.44 states/eV/f.u.
space-group type: Im-3, No. 204
total magnetic moment: 0.00 Bohr magnetons per cell

Cell lengths 7.784, 7.784, 7.784 Å; angles 109.47, 109.47, 109.47 degrees
Sites, in units of the cell vectors:
1 Sc 0.100 0.803 0.297
2 Sc 0.197 0.297 0.494
3 Sc 0.197 0.703 0.900
4 Sc 0.297 0.100 0.803
5 Sc 0.297 0.494 0.197
6 Sc 0.494 0.197 0.297
7 Sc 0.506 0.803 0.703
8 Sc 0.703 0.506 0.803
9 Sc 0.703 0.900 0.197
10 Sc 0.803 0.297 0.100
11 Sc 0.803 0.703 0.506
12 Sc 0.900 0.197 0.703
13 Cd 0.000 0.000 0.000
14 Co 0.120 0.620 0.500
15 Co 0.380 0.500 0.880
16 Co 0.500 0.120 0.620
17 Co 0.500 0.880 0.380
18 Co 0.620 0.500 0.120
19 Co 0.880 0.380 0.500

---

# 5
The following is a GGA-PBE calculation of a relaxed Li2SbMo crystal, from the Alexandria database.

Properties
DOS(E_F): 3.86 states/eV/f.u.
raw formation energy: 0.4 eV per formula unit
space-group type: F-43m, No. 216
total magnetic moment: 0.56 Bohr magnetons per cell

Cell lengths 4.545, 4.545, 4.545 Å; angles 60.00, 60.00, 60.00 degrees
Sites, in units of the cell vectors:
1 Li 0.000 0.000 0.000
2 Li 0.250 0.250 0.250
3 Sb 0.750 0.750 0.750
4 Mo 0.500 0.500 0.500

---

# 6
The following is a GGA-PBE calculation of a relaxed Pa3Si2Au5 crystal, from the Alexandria database.

Properties
DOS(E_F): 10.98 states/eV/f.u.
raw formation energy: -2.7 eV per formula unit
space-group type: P-1, No. 2
total magnetic moment: 1.06 Bohr magnetons per cell

Cell lengths 6.029, 8.052, 8.580 Å; angles 97.24, 98.12, 96.84 degrees
Sites, in units of the cell vectors:
1 Pa 0.043 0.334 0.376
2 Pa 0.280 0.454 0.024
3 Pa 0.412 0.163 0.139
4 Pa 0.588 0.837 0.861
5 Pa 0.720 0.546 0.976
6 Pa 0.957 0.666 0.624
7 Si 0.115 0.785 0.980
8 Si 0.363 0.483 0.695
9 Si 0.637 0.517 0.305
10 Si 0.885 0.215 0.020
11 Au 0.051 0.677 0.280
12 Au 0.081 0.018 0.811
13 Au 0.240 0.005 0.484
14 Au 0.446 0.694 0.509
15 Au 0.491 0.812 0.206
16 Au 0.509 0.188 0.794
17 Au 0.554 0.306 0.491
18 Au 0.760 0.995 0.516
19 Au 0.919 0.982 0.189
20 Au 0.949 0.323 0.720